A plane-wave DFT calculation with PBE was carried out for a geometry-optimized GdZr3 structure.

Unit cell a=6.6450 b=6.6450 c=5.2523 alpha=90.00 beta=90.00 gamma=120.00
Last column: nearest neighbours and their distance in Å.
Element x y z (fractional)
Zr: 0.5064 0.4936 0.0000  8 Zr 3.19-3.45, 4 Gd 3.30-3.32
Zr: 0.5064 0.0128 0.0000  8 Zr 3.19-3.45, 4 Gd 3.30-3.32
Zr: 0.3462 0.1731 0.5000  8 Zr 3.19-3.45, 4 Gd 3.30-3.32
Zr: 0.8269 0.1731 0.5000  8 Zr 3.19-3.45, 4 Gd 3.30-3.32
Zr: 0.8269 0.6538 0.5000  8 Zr 3.19-3.45, 4 Gd 3.30-3.32
Zr: 0.9872 0.4936 0.0000  8 Zr 3.19-3.45, 4 Gd 3.30-3.32
Gd: 0.0000 0.0000 0.0000  12 Zr 3.30-3.32
Gd: 0.3333 0.6667 0.5000  12 Zr 3.30-3.32

Formation enthalpy at 0 K, eV/atom: 0.07
Total energy, eV per atom: -7.506
M_tot, μB/f.u.: 0.01
ρ, g cm⁻³: 7.125